The following is a DFT calculation (GGA-PBE) of a geometry-optimized AcPmY2As4 structure.

Energy of formation = -1.498 eV per atom
Calculated density = 6.43 Mg/m³
Symmetry = P2/m

Unit cell a=4.265 b=7.380 c=7.389 alpha=70.57 beta=90.00 gamma=90.00
Sites, in units of the cell vectors:
As 0.500 0.762 0.253
As 0.500 0.238 0.747
Ac 0.500 0.500 0.000
As 0.000 0.233 0.263
As 0.000 0.767 0.737
Y 0.500 0.000 0.500
Y 0.000 0.000 0.000
Pm 0.000 0.500 0.500